ZrSbP2, relaxed, DFT PBEsol; ΔE_f (raw) = -0.411 eV/atom; spin magnetization = 0.00 μB/f.u.; calculated density = 5.91 Mg/m³; N(E_F) = 1.51 states/eV/cell
1.0
-0.844 3.087 -0.579
-0.871 -0.897 -3.510
-5.576 -0.883 3.420
Sb P Zr
1 2 1
Direct
0.000 0.894 0.511
0.000 0.124 0.982
0.500 0.446 0.198
0.500 0.536 0.808